A plane-wave DFT calculation with GGA-PBE was carried out for a geometry-optimized Ta2IrOs structure.

The structure in POSCAR format:
```
Ta2IrOs
1.0
9.6658 0.0152 0.0089
9.2518 2.7985 0.0089
9.2518 1.3761 2.4368
Ir Os Ta
1 1 2
Direct
0.4981 0.4981 0.4981
0.7532 0.7532 0.7532
0.0037 0.0037 0.0037
0.2450 0.2450 0.2450
```

Summary:
The value obtained for the calculated volume is 65.3 Å³ per cell. The energy of formation from the pure elements is 0.061 eV per atom. As for the space group: R3m.